20
Lattice="6.4566 0.0000 0.0000 0.0000 6.4610 0.0000 0.0000 0.0000 7.5577" Properties=species:S:1:pos:R:3 comment="AlTl2CuF6, relaxed, DFT PBE" e_form_raw_mev_per_atom=-2351 pbc="T T T"
Al 3.2283 1.6275 3.7789
Al 0.0000 4.8335 0.0000
Tl 3.2283 4.8578 1.8899
Tl 0.0000 1.6032 5.6688
Tl 3.2283 4.8578 5.6678
Tl 0.0000 1.6032 1.8889
Cu 0.0000 4.8209 3.7789
Cu 3.2283 1.6401 0.0000
F 3.2283 1.6270 1.8895
F 3.2283 1.6270 5.6682
F 0.0000 4.8340 1.8894
F 0.0000 4.8340 5.6683
F 1.9434 0.3416 3.7789
F 4.5132 0.3416 3.7789
F 1.9425 2.9120 3.7789
F 4.5141 2.9120 3.7789
F 5.1708 3.5490 0.0000
F 1.2858 3.5490 0.0000
F 1.2849 6.1195 0.0000
F 5.1717 6.1195 0.0000

***

6
Lattice="4.6166 0.1106 0.7774 1.7229 -1.5027 4.0870 2.4393 -3.9931 0.1864" Properties=species:S:1:pos:R:3 comment="AlFe4Cu, relaxed, DFT PBE" e_form_ev_per_atom=0.10 pbc="T T T"
Al 6.5841 -4.0389 3.7881
Fe 5.6037 -1.9621 2.2821
Fe 4.5121 -4.0197 1.9858
Fe 4.1528 -2.7710 3.9415
Fe 3.2890 -2.0176 1.8923
Cu 0.0000 0.0000 0.0000

***

4
Lattice="4.3635 -0.0034 0.0071 3.5375 2.5547 0.0071 0.8451 0.2729 4.7352" Properties=species:S:1:pos:R:3 comment="Al2FeCu, relaxed, DFT PBE" e_form_ev_per_atom=-0.12 pbc="T T T"
Fe 2.1865 0.7061 1.1874
Cu 6.5596 2.1182 3.5621
Al 7.8977 2.5502 0.0478
Al 4.3765 1.4132 2.3412

***

7
Lattice="2.9302 0.0000 0.3889 0.0000 2.8441 0.0000 0.0834 0.0000 10.6060" Properties=species:S:1:pos:R:3 comment="Al3Fe2Cu2, relaxed, DFT PBE" e_form_ev_per_atom=-0.20 pbc="T T T"
Al 2.5679 0.0000 3.1187
Al 0.0000 0.0000 0.0000
Al 0.4457 0.0000 7.8762
Fe 1.7376 1.4220 9.3752
Fe 1.2760 1.4220 1.6197
Cu 2.1105 1.4220 6.5652
Cu 0.9030 1.4220 4.4297

***

3
Lattice="-0.0313 -0.5224 4.0587 3.5439 -0.0729 -2.0451 0.2473 2.5954 0.3360" Properties=species:S:1:pos:R:3 comment="AlFeCu, relaxed, DFT PBE" e_form_ev_per_atom=-0.06 pbc="T T T"
Fe 2.5152 1.4880 0.2109
Cu 1.2271 0.3279 2.1148
Al 0.0175 0.1842 0.0238

***

4
Lattice="-0.2797 -2.4518 1.0877 1.2847 0.8383 2.2180 -6.5152 2.0703 2.9912" Properties=species:S:1:pos:R:3 comment="Al2FeCu, relaxed, DFT PBE" e_form_ev_per_atom=-0.04 pbc="T T T"
Fe -4.3500 0.7352 3.8807
Cu -3.3053 1.0503 1.5175
Al -6.3750 2.0258 2.9269
Al -1.2526 -0.2490 2.4587

***

13
Lattice="-0.6056 3.3391 2.2534 -6.0145 -2.7749 2.4957 1.2428 -3.7418 5.8786" Properties=species:S:1:pos:R:3 comment="Al8Fe3Cu2, relaxed, DFT PBE" e_form_ev_per_atom=-0.20 pbc="T T T"
Al -2.4316 0.8452 5.4582
Al -2.9457 -4.0227 5.1696
Al -4.1739 -5.7000 7.3249
Al -1.2035 2.5224 3.3029
Al -1.5196 -2.6014 7.1285
Al -5.0009 -2.1374 5.5055
Al -0.3764 -1.0401 5.1222
Al -3.8578 -0.5762 3.4992
Fe -0.3028 1.6696 1.1267
Fe -4.2516 -3.0097 3.3174
Fe -0.5202 -3.5070 5.0570
Cu -3.9051 -3.2498 7.4485
Cu -1.4722 0.0722 3.1793

***

12
Lattice="4.0560 0.0000 0.0113 2.0280 6.0886 0.0056 -0.0162 0.0000 5.8366" Properties=species:S:1:pos:R:3 comment="Al6Fe5Cu, relaxed, DFT PBE" e_form_ev_per_atom=-0.32 pbc="T T T"
Al 4.0520 2.0994 1.4903
Al 4.0439 2.0994 4.3688
Al 2.0160 0.0000 4.3406
Al 2.0239 0.0000 1.5073
Al 2.0239 3.9891 1.4847
Al 2.0159 3.9891 4.3632
Cu 0.0000 0.0000 0.0000
Fe 4.0479 4.1156 2.9296
Fe 2.0280 1.9811 0.0056
Fe -0.0081 0.0000 2.9183
Fe 4.0560 4.1075 0.0113
Fe 2.0199 1.9729 2.9239

***

4
Lattice="8.4067 -0.0035 -0.0021 7.9661 2.6859 -0.0021 7.9661 1.3051 2.3475" Properties=species:S:1:pos:R:3 comment="Al2FeCu, relaxed, DFT PBE" e_form_ev_per_atom=-0.13 pbc="T T T"
Fe 18.2541 2.9906 1.7575
Cu 6.0847 0.9969 0.5858
Al 0.0560 0.0092 0.0054
Al 12.1135 1.9845 1.1663

***

4
Lattice="5.6745 -0.0012 -0.0039 -2.2407 3.9345 0.0013 1.1931 0.6680 2.1923" Properties=species:S:1:pos:R:3 comment="AlFe2Cu, relaxed, DFT PBE" e_form_ev_per_atom=-0.09 pbc="T T T"
Fe 0.0000 0.0000 0.0000
Fe 3.4338 0.3334 1.0942
Cu 1.7169 1.9667 -0.0013
Al -0.5238 2.3012 1.0968

***

4
Lattice="-4.6994 -6.1890 3.5219 -3.7533 -7.5158 1.4887 -2.3600 -7.3254 3.6824" Properties=species:S:1:pos:R:3 comment="AlFe2Cu, relaxed, DFT PBE" e_form_ev_per_atom=0.03 pbc="T T T"
Fe -10.8082 -21.0216 8.6894
Fe -5.4108 -10.5238 4.3501
Cu -8.1095 -15.7727 6.5197
Al -2.7032 -5.2576 2.1732

***

4
Lattice="-2.5502 -6.2060 -5.2749 -0.9272 -7.6721 -3.6223 -3.5339 -7.2003 -2.9173" Properties=species:S:1:pos:R:3 comment="Al2FeCu, relaxed, DFT PBE" e_form_ev_per_atom=-0.02 pbc="T T T"
Fe -5.2643 -15.8262 -8.8706
Cu -3.4940 -10.5041 -5.8876
Al -0.0333 -0.1001 -0.0561
Al -1.7254 -5.1872 -2.9074

***

| no. | DOS at the Fermi energy (states/eV/cell) | final energy (eV for the cell shown) |
| --- | --- | --- |
| 1 | 0.00 | -94.61 |
| 2 | 5.25 | -41.12 |
| 3 | 2.25 | -20.53 |
| 4 | 5.35 | -37.77 |
| 5 | 2.58 | -16.48 |
| 6 | 2.77 | -20.20 |
| 7 | 9.22 | -66.17 |
| 8 | 11.32 | -72.71 |
| 9 | 2.35 | -20.54 |
| 10 | 2.64 | -25.14 |
| 11 | 3.51 | -24.64 |
| 12 | 1.93 | -20.13 |